Compound: La4Hf3As4
Source: OQMD
Functional: PBE
Structure: optimized geometry

The structure in POSCAR format:
```
La4Hf3As4
1.0
7.4790 0.0000 0.0000
0.0000 3.8017 0.0000
-1.3757 0.0000 9.7854
La Hf As
4 3 4
direct
0.0000 0.0000 0.0000
0.0595 0.5000 0.4147
0.4174 0.0000 0.5774
0.6774 0.5000 0.1137
0.3028 0.5000 0.8349
0.4394 0.0000 0.2883
0.7848 0.5000 0.7220
0.0561 0.0000 0.6921
0.2753 0.5000 0.1215
0.5993 0.0000 0.8667
0.6622 0.5000 0.4415
```

Output
Crystal system: monoclinic
Space group: No. 6
Total magnetization in μB per formula unit: 0.0
Raw total energy in eV per atom: -6.873


Compound: FeSb2Se3Br2
Source: OQMD
Functional: PBE
Structure: optimized geometry

The structure in POSCAR format:
```
FeSb2Se3Br2
1.0
10.6455 -1.9899 0.0000
10.6455 1.9899 0.0000
-6.3619 0.0000 10.7259
Fe Sb Se Br
2 4 6 4
direct
0.1565 0.1565 0.4515
0.8435 0.8435 0.5485
0.2041 0.2041 0.0888
0.4584 0.4584 0.2246
0.5416 0.5416 0.7754
0.7959 0.7959 0.9112
0.0478 0.0478 0.2328
0.1776 0.1776 0.8597
0.4033 0.4033 0.9806
0.5967 0.5967 0.0194
0.8224 0.8224 0.1403
0.9522 0.9522 0.7672
0.2889 0.2889 0.6388
0.3876 0.3876 0.4668
0.6124 0.6124 0.5332
0.7111 0.7111 0.3612
```

Output
Crystal system: monoclinic
Space group: No. 12
Total magnetization in μB per formula unit: 4.0
Raw total energy in eV per atom: -4.108


Compound: NbHgO3
Source: OQMD
Functional: PBE
Structure: optimized geometry

The structure in POSCAR format:
```
NbHgO3
1.0
3.3875 0.0000 0.0000
0.0000 3.3875 0.0000
0.0000 0.0000 5.9733
Nb Hg O
1 1 3
direct
0.0000 0.0000 0.0000
0.5000 0.5000 0.4686
0.0000 0.5000 0.1735
0.5000 0.0000 0.1735
0.5000 0.5000 0.8284
```

Output
Crystal system: tetragonal
Space group: No. 99
Total magnetization in μB per formula unit: 0.9
Raw total energy in eV per atom: -6.162


Compound: GdMgZn
Source: OQMD
Functional: PBE
Structure: optimized geometry

The structure in POSCAR format:
```
GdMgZn
1.0
4.9781 0.0000 0.0000
-2.4891 4.3112 0.0000
0.0000 0.0000 9.3643
Gd Mg Zn
3 3 3
direct
0.0000 0.0000 0.0000
0.3333 0.6667 0.1905
0.6667 0.3333 0.6457
0.0000 0.0000 0.3825
0.3333 0.6667 0.5194
0.3333 0.6667 0.8381
0.0000 0.0000 0.6857
0.6667 0.3333 0.3007
0.6667 0.3333 0.9868
```

Output
Crystal system: trigonal
Space group: No. 156
Total magnetization in μB per formula unit: 0.0
Raw total energy in eV per atom: -2.704


Compound: ErScGa2Ir4
Source: OQMD
Functional: PBE
Structure: optimized geometry

The structure in POSCAR format:
```
ErScGa2Ir4
1.0
4.4873 0.0000 0.0000
0.0000 4.4873 0.0000
0.0000 0.0000 6.3761
Er Sc Ga Ir
1 1 2 4
direct
0.0000 0.0000 0.0000
0.5000 0.5000 0.5000
0.0000 0.0000 0.5000
0.5000 0.5000 0.0000
0.0000 0.5000 0.2595
0.0000 0.5000 0.7405
0.5000 0.0000 0.2595
0.5000 0.0000 0.7405
```

Output
Crystal system: tetragonal
Space group: No. 123
ΔE to the lowest computed polymorph in meV per atom: 0.0
Total magnetization in μB per formula unit: 0.0
Raw total energy in eV per atom: -7.246


Compound: PuAgCl6
Source: OQMD
Functional: PBE
Structure: optimized geometry

The structure in POSCAR format:
```
PuAgCl6
1.0
3.3031 1.9071 5.9787
-3.3031 1.9071 5.9787
0.0000 -3.8141 5.9787
Pu Ag Cl
1 1 6
direct
0.0000 0.0000 0.0000
0.5000 0.5000 0.5000
0.0944 0.7614 0.3895
0.2386 0.6105 0.9056
0.3895 0.0944 0.7614
0.6105 0.9056 0.2386
0.7614 0.3895 0.0944
0.9056 0.2386 0.6105
```

Output
Crystal system: trigonal
Space group: No. 148
Total magnetization in μB per formula unit: 3.0
Raw total energy in eV per atom: -4.700